A relaxed Tl2NiW crystal. Source: Alexandria, functional GGA-PBE.

## Properties
energy of formation from the pure elements: 1179 meV/atom
density: 13.9 Mg/m³
DFT total energy: -4.688 eV/atom
N(E_F): 0.4979 states/eV per atom

```
data_Tl2NiW
_chemical_formula_sum 'Tl8 Ni4 W4'
_symmetry_space_group_name_H-M 'F -4 3 m'
_symmetry_Int_Tables_number 216
_symmetry_space_group_name_Hall 'F -4 2 3'
_cell_length_a 6.778
_cell_length_b 6.778
_cell_length_c 6.778
_cell_angle_alpha 90.00
_cell_angle_beta 90.00
_cell_angle_gamma 90.00
loop_
_atom_site_label
_atom_site_type_symbol
_atom_site_fract_x
_atom_site_fract_y
_atom_site_fract_z
Tl1 Tl 0.000 0.000 0.000
Tl2 Tl 0.250 0.250 0.250
Ni1 Ni 0.250 0.250 0.750
W1 W 0.000 0.000 0.500
```